Record 1
A relaxed structure of Tb3Tm2Tl7. Source: Alexandria, functional PBE-GGA.

## Properties
Energy of formation, eV/atom: -0.077

```
Tb3Tm2Tl7
1.0
5.3748 0.0000 0.0000
0.0000 5.2404 0.0000
0.0000 -2.6202 12.8664
Tl Tm Tb
7 2 3
Direct
0.0000 0.7212 0.4425
0.0000 0.0000 0.0000
0.0000 0.5771 0.1542
0.0000 0.2788 0.5575
0.5000 0.9174 0.8347
0.0000 0.4229 0.8458
0.5000 0.0826 0.1653
0.0000 0.8471 0.6942
0.0000 0.1529 0.3058
0.5000 0.3461 0.6921
0.5000 0.6539 0.3079
0.5000 0.5000 0.0000
```

Record 2
A relaxed structure of Sm3YTh2As6. Source: Alexandria, functional PBE-GGA.

## Properties
Energy of formation, eV/atom: -1.505

```
Sm3YTh2As6
1.0
4.2221 0.0000 0.0000
0.0000 8.4159 0.2967
-2.1111 -2.4288 8.8613
As Th Sm Y
6 2 3 1
Direct
0.3331 0.4164 0.6663
0.9995 0.2462 0.9991
0.6652 0.0817 0.3304
0.3348 0.9183 0.6696
0.6669 0.5836 0.3337
0.0005 0.7538 0.0009
0.1648 0.3302 0.3296
0.8352 0.6698 0.6704
0.1661 0.8343 0.3322
0.8339 0.1657 0.6678
0.5000 0.5000 0.0000
0.5000 0.0000 0.0000
```

Record 3
A relaxed structure of AcSm2Ni6. Source: Alexandria, functional PBE-GGA.

## Properties
Energy of formation, eV/atom: -0.306

```
AcSm2Ni6
1.0
-3.3476 0.5533 -2.1513
0.6734 -6.4378 -2.7038
-3.6446 0.9555 5.9172
Ni Sm Ac
6 2 1
Direct
0.5000 0.6635 0.6635
0.5000 0.6635 0.0000
0.5000 0.3365 0.0000
0.5000 0.0000 0.6635
0.5000 0.3365 0.3365
0.5000 0.0000 0.3365
0.0000 0.6667 0.3333
0.0000 0.3333 0.6667
0.0000 0.0000 0.0000
```

Record 4
A relaxed structure of PaMnGe2. Source: Alexandria, functional PBE-GGA.

## Properties
Energy of formation, eV/atom: -0.360

```
PaMnGe2
1.0
4.0119 0.0000 -0.9321
-0.9844 7.7864 -4.2369
0.0320 -0.0777 9.2374
Ge Mn Pa
8 4 4
Direct
0.0786 0.5786 0.1571
0.6965 0.3608 0.3930
0.3035 0.9679 0.6070
0.0818 0.0818 0.1637
0.3035 0.6392 0.6070
0.9182 0.9182 0.8363
0.6965 0.0321 0.3930
0.9214 0.4214 0.8429
0.8625 0.6120 0.7250
0.1375 0.3880 0.2750
0.8625 0.1129 0.7250
0.1375 0.8871 0.2750
0.5000 0.2616 0.0000
0.7112 0.7112 0.4224
0.2888 0.2888 0.5776
0.5000 0.7384 0.0000
```

Record 5
A relaxed structure of NaBe2Fe2. Source: Alexandria, functional PBE-GGA.

## Properties
Energy of formation, eV/atom: 0.277

```
NaBe2Fe2
1.0
-2.6114 -5.9338 -2.8056
-0.5696 -2.8033 6.4590
-2.2278 0.8906 0.1901
Na Be Fe
2 4 4
Direct
0.0000 0.0000 0.0000
0.5000 0.5000 0.0000
0.6692 0.1692 0.0000
0.3308 0.8308 0.0000
0.1692 0.3308 0.0000
0.8308 0.6692 0.0000
0.1185 0.6185 0.5000
0.6185 0.8815 0.5000
0.3815 0.1185 0.5000
0.8815 0.3815 0.5000
```

Record 6
A relaxed structure of K2AlFe. Source: Alexandria, functional PBE-GGA.

## Properties
Energy of formation, eV/atom: 0.504

```
K2AlFe
1.0
4.3477 -0.5265 0.1793
2.6231 3.5070 0.1793
2.0004 0.8553 9.3904
Al Fe K
1 1 2
Direct
0.5420 0.5420 0.3748
0.2083 0.2083 0.3752
0.7834 0.7834 0.6429
0.9664 0.9664 0.1071
```

Record 7
A relaxed structure of PuPaIrRu. Source: Alexandria, functional PBE-GGA.

## Properties
Energy of formation, eV/atom: -0.422

```
PuPaIrRu
1.0
-1.9968 -3.7082 2.3975
2.6868 -3.8622 1.1623
1.1929 -0.8187 4.6253
Ir Pa Pu Ru
1 1 1 1
Direct
0.2500 0.2500 0.2500
0.5000 0.5000 0.5000
0.0000 0.0000 0.0000
0.7500 0.7500 0.7500
```

Record 8
A relaxed structure of NbIrPt2Rh2. Source: Alexandria, functional PBE-GGA.

## Properties
Energy of formation, eV/atom: -0.119

```
NbIrPt2Rh2
1.0
-4.0861 2.7878 -1.4614
-3.0593 -3.2716 2.3127
-0.0289 3.3903 6.5481
Rh Pt Nb Ir
4 4 2 2
Direct
0.2500 0.6236 0.5792
0.7500 0.3764 0.4208
0.7500 0.8646 0.5033
0.2500 0.1354 0.4967
0.9979 0.0679 0.1800
0.4979 0.9321 0.8200
0.0021 0.9321 0.8200
0.5021 0.0679 0.1800
0.7500 0.4173 0.7693
0.2500 0.5827 0.2307
0.2500 0.3881 0.9136
0.7500 0.6119 0.0864
```

Record 9
A relaxed structure of DyY6Ho4. Source: Alexandria, functional PBE-GGA.

## Properties
Energy of formation, eV/atom: 0.124
Distance to the lowest polymorph of the same formula, meV/atom: 0.0

```
DyY6Ho4
1.0
-2.7734 -2.1714 -4.4548
1.3763 -3.2530 4.3487
-22.4130 5.5526 11.2469
Dy Ho Y
2 8 12
Direct
0.8206 0.6411 0.2500
0.1794 0.3589 0.7500
0.4791 0.9582 0.1211
0.5209 0.0418 0.8789
0.8397 0.6794 0.5421
0.4791 0.9582 0.3789
0.1603 0.3206 0.0421
0.1603 0.3206 0.4579
0.8397 0.6794 0.9579
0.5209 0.0418 0.6211
0.8164 0.6327 0.1036
0.5000 0.0000 0.0000
0.1504 0.3008 0.1813
0.8496 0.6992 0.6813
0.5000 0.0000 0.5000
0.8164 0.6327 0.3964
0.5134 0.0267 0.7500
0.1836 0.3673 0.8964
0.8496 0.6992 0.8187
0.1836 0.3673 0.6036
0.1504 0.3008 0.3187
0.4866 0.9733 0.2500
```

Record 10
A relaxed structure of CaEuCu. Source: Alexandria, functional PBE-GGA.

## Properties
Energy of formation, eV/atom: 0.031
Distance to the lowest polymorph of the same formula, meV/atom: 80.7

```
CaEuCu
1.0
-1.8281 -4.6566 -1.0763
0.3489 -3.7493 3.4649
-4.2093 -1.7041 2.3584
Eu Ca Cu
1 1 1
Direct
0.0000 0.0000 0.0000
0.5000 0.5000 0.5000
0.2500 0.2500 0.2500
```

Record 11
A relaxed structure of La2NiTe. Source: Alexandria, functional PBE-GGA.

## Properties
Formation energy from raw total energies, eV per atom: -0.717

```
La2NiTe
1.0
-2.6210 3.3937 1.0197
-0.2519 -1.4436 4.1569
5.1969 3.5488 1.5473
Ni Te La
1 1 2
Direct
0.0000 0.0000 0.3474
0.5000 0.5000 0.8515
0.0000 0.0000 0.9406
0.5000 0.5000 0.3605
```

Record 12
A relaxed structure of CePaNi2. Source: Alexandria, functional PBE-GGA.

## Properties
Energy of formation, eV/atom: -0.230
Distance to the lowest polymorph of the same formula, meV/atom: 0.0

```
CePaNi2
1.0
-0.9615 2.1492 2.4771
-2.5368 1.1485 -1.9812
-4.1055 -4.7332 2.5131
Ce Pa Ni
1 1 2
Direct
0.5000 0.5000 0.5000
0.5000 0.5000 0.0000
0.0000 0.0000 0.2033
0.0000 0.0000 0.7967
```

Record 13
A relaxed structure of Na2NbWN4. Source: Alexandria, functional PBE-GGA.

## Properties
Formation energy from raw total energies, eV per atom: -0.565

```
Na2NbWN4
1.0
-2.3742 2.8818 -4.6292
-2.2963 -4.5940 2.9989
0.2950 1.8111 5.6572
Nb W N Na
1 1 4 2
Direct
0.5000 0.2500 0.7500
0.0000 0.5000 0.5000
0.9149 0.5380 0.1345
0.0851 0.2196 0.6231
0.5965 0.3769 0.4620
0.4035 0.8655 0.7804
0.5000 0.7500 0.2500
0.0000 0.0000 0.0000
```

Record 14
A relaxed structure of CaReNi. Source: Alexandria, functional PBE-GGA.

## Properties
Energy of formation, eV/atom: 0.992
Distance to the lowest polymorph of the same formula, meV/atom: 627.6

```
CaReNi
1.0
4.3465 0.0000 0.0000
2.1732 3.7642 0.0000
2.1732 1.2547 3.5489
Ca Ni Re
1 1 1
Direct
0.5000 0.5000 0.5000
0.7500 0.7500 0.7500
0.0000 0.0000 0.0000
```

Record 15
A relaxed structure of Pm3Nd2Pd4. Source: Alexandria, functional PBE-GGA.

## Properties
Energy of formation, eV/atom: -0.596

```
Pm3Nd2Pd4
1.0
-4.8022 3.9275 3.7074
2.2387 -3.5659 6.6773
8.1506 3.9200 -0.6392
Pm Pd Nd
6 8 4
Direct
0.4682 0.2500 0.4364
0.0318 0.7500 0.5636
0.5318 0.7500 0.5636
0.9682 0.2500 0.4364
0.0000 0.0000 0.0000
0.5000 0.5000 0.0000
0.8177 0.0491 0.6353
0.3177 0.4509 0.6353
0.6823 0.5491 0.3647
0.2071 0.7500 0.9142
0.7071 0.7500 0.9142
0.2929 0.2500 0.0858
0.1823 0.9509 0.3647
0.7929 0.2500 0.0858
0.9040 0.4028 0.8080
0.0960 0.5972 0.1920
0.5960 0.9028 0.1920
0.4040 0.0972 0.8080
```

Record 16
A relaxed structure of UGaCu2O8. Source: Alexandria, functional PBE-GGA.

## Properties
Formation energy from raw total energies, eV per atom: -1.231

```
UGaCu2O8
1.0
5.7154 0.5230 0.0000
-2.0661 5.3544 0.0000
-1.8246 -2.9387 4.5797
O Cu Ga U
8 2 1 1
Direct
0.5010 0.7006 0.8004
0.3605 0.0564 0.3041
0.9001 0.7006 0.1996
0.7524 0.0564 0.6959
0.9436 0.2476 0.3041
0.2994 0.4990 0.1996
0.2994 0.0999 0.8004
0.9436 0.6395 0.6959
0.7500 0.2500 0.5000
0.5000 0.5000 0.0000
0.2500 0.7500 0.5000
0.0000 0.0000 0.0000
```

Record 17
A relaxed structure of BaNbCu2. Source: Alexandria, functional PBE-GGA.

## Properties
Energy of formation, eV/atom: 0.780
Distance to the lowest polymorph of the same formula, meV/atom: 0.0

```
BaNbCu2
1.0
0.0000 3.5538 3.5538
3.5538 0.0000 3.5538
3.5538 3.5538 0.0000
Ba Cu Nb
1 2 1
Direct
0.5000 0.5000 0.5000
0.7500 0.7500 0.7500
0.2500 0.2500 0.2500
0.0000 0.0000 0.0000
```

Record 18
A relaxed structure of B2C. Source: Alexandria, functional PBE-GGA.

## Properties
Energy of formation, eV/atom: 0.516
Distance to the lowest polymorph of the same formula, meV/atom: 330.7

```
B2C
1.0
0.0361 0.4465 2.6567
-2.3432 -0.0287 -1.3294
-1.2684 -15.1469 2.5630
B C
8 4
Direct
0.3333 0.6667 0.4682
0.6667 0.3333 0.7464
0.6667 0.3333 0.2925
0.3333 0.6667 0.7225
0.0000 0.0000 0.9186
0.0000 0.0000 0.3593
0.3333 0.6667 0.1617
0.6667 0.3333 0.8542
0.3333 0.6667 0.0503
0.0000 0.0000 0.0215
0.6667 0.3333 0.1939
0.0000 0.0000 0.4609
```

Record 19
A relaxed structure of Os2Ru. Source: Alexandria, functional PBE-GGA.

## Properties
Energy of formation, eV/atom: -0.006
Distance to the lowest polymorph of the same formula, meV/atom: 11.6

```
Os2Ru
1.0
7.2606 -0.0022 0.0000
-0.5186 2.6969 0.0000
-2.5927 0.8997 4.3350
Ru Os
2 4
Direct
0.3900 0.9447 0.5006
0.0551 0.2780 0.4991
0.0002 0.0006 0.9990
0.7217 0.6108 0.5002
0.3329 0.6666 0.9996
0.6667 0.3326 0.0015
```

Record 20
A relaxed structure of Dy2ScH. Source: Alexandria, functional PBE-GGA.

## Properties
Distance to the lowest polymorph of the same formula, meV/atom: 0.0

```
Dy2ScH
1.0
-3.1374 -0.4911 1.5405
-2.0938 -2.6359 -1.0611
1.7217 -6.0001 5.6371
Dy Sc H
2 1 1
Direct
0.2765 0.2765 0.1706
0.7235 0.7235 0.8294
0.5000 0.5000 0.5000
0.0000 0.0000 0.0000
```

Record 21
A relaxed structure of PIO2. Source: Alexandria, functional PBE-GGA.

## Properties
Formation energy from raw total energies, eV per atom: -1.063
Distance to the lowest polymorph of the same formula, meV/atom: 201.8

```
PIO2
1.0
4.6153 -0.0374 -0.0003
0.0208 4.6658 -0.0071
1.8845 1.9540 5.4985
I P O
1 1 2
Direct
0.8851 0.2970 0.7623
0.9896 0.3993 0.3393
0.2363 0.6447 0.1771
0.7954 0.2048 0.2769
```

Record 22
A relaxed structure of CaY4Ag4O12. Source: Alexandria, functional PBE-GGA.

## Properties
Formation energy from raw total energies, eV per atom: -1.816

```
CaY4Ag4O12
1.0
-1.2066 -1.3310 -6.7876
-2.8454 -5.3910 1.5629
-6.4731 3.2640 0.5106
O Y Ag Ca
12 4 4 1
Direct
0.2044 0.2572 0.6225
0.7515 0.8555 0.9700
0.0000 0.5832 0.1623
0.7956 0.2572 0.6225
0.0000 0.8495 0.5717
0.7090 0.6400 0.4255
0.8011 0.2133 0.0528
0.5000 0.1384 0.3542
0.2485 0.8555 0.9700
0.5000 0.4372 0.8885
0.1989 0.2133 0.0528
0.2910 0.6400 0.4255
0.5000 0.4172 0.5565
0.5000 0.0806 0.0533
0.0000 0.0852 0.8137
0.0000 0.5031 0.4719
0.7141 0.9525 0.5120
0.7569 0.5318 0.0144
0.2859 0.9525 0.5120
0.2431 0.5318 0.0144
0.0000 0.9454 0.2034
```

Record 23
A relaxed structure of ZnBiO3. Source: Alexandria, functional PBE-GGA.

## Properties
Formation energy from raw total energies, eV per atom: -1.091

```
ZnBiO3
1.0
5.6039 0.0000 0.0000
0.0000 5.6663 0.0002
0.0000 5.4488 8.4004
O Zn Bi
12 4 4
Direct
0.6707 0.4503 0.9107
0.8693 0.1309 0.2333
0.8562 0.7646 0.0689
0.1307 0.8691 0.7667
0.1438 0.2354 0.9311
0.6307 0.1309 0.7333
0.6438 0.7646 0.5689
0.3562 0.2354 0.4311
0.3693 0.8691 0.2667
0.3293 0.5497 0.0893
0.8293 0.4503 0.4107
0.1707 0.5497 0.5893
0.4833 0.7795 0.7442
0.5167 0.2205 0.2558
0.9833 0.2205 0.7558
0.0167 0.7795 0.2442
0.5000 0.5000 0.5000
0.0000 0.0000 0.5000
0.0000 0.5000 0.0000
0.5000 0.0000 0.0000
```

| no. | uncorrected energy (eV per atom) |
| --- | --- |
| 1 | -3.36 |
| 2 | -6.79 |
| 3 | -5.67 |
| 4 | -7.34 |
| 5 | -4.86 |
| 6 | -3.10 |
| 7 | -10.91 |
| 8 | -7.74 |
| 9 | -5.48 |
| 10 | -5.43 |
| 11 | -5.41 |
| 12 | -6.98 |
| 13 | -7.94 |
| 14 | -5.75 |
| 15 | -5.55 |
| 16 | -6.41 |
| 17 | -4.27 |
| 18 | -7.01 |
| 19 | -10.58 |
| 20 | -4.88 |
| 21 | -5.28 |
| 22 | -6.52 |
| 23 | -5.10 |